# 1
Computed, not measured: a geometry-optimized GaSi2I2 structure at the GGA-PBEsol level of DFT.

```
GaSi2I2
1.0
-2.888 2.888 3.920
2.888 -2.888 3.920
2.888 2.888 -3.920
Ga Si I
1 2 2
Cartesian
0.000 0.000 0.000 Ga
0.000 0.000 2.696 Si
0.000 0.000 5.145 Si
2.888 0.000 1.960 I
0.000 2.888 1.960 I
```

As for the calculated total energy: -3.27 eV per atom.


# 2
Computed, not measured: a geometry-optimized V3Zn2O8 structure at the GGA-PBEsol level of DFT.

```
V3Zn2O8
1.0
5.697 0.000 0.000
-2.849 4.934 0.000
0.000 0.000 9.491
V Zn O
6 4 16
Cartesian
0.000 1.530 0.000 V
-1.524 4.169 0.000 V
1.325 0.765 4.745 V
1.524 4.169 0.000 V
4.372 0.765 4.745 V
2.849 3.404 4.745 V
0.000 3.289 2.949 Zn
0.000 3.289 6.875 Zn
2.849 1.645 2.129 Zn
2.849 1.645 7.694 Zn
0.000 0.000 3.588 O
0.000 0.000 8.333 O
-1.289 2.545 8.400 O
0.000 1.600 5.752 O
-1.463 4.134 5.752 O
1.385 0.800 1.007 O
0.000 3.289 1.000 O
1.289 2.545 8.400 O
0.000 4.777 8.400 O
2.849 0.156 3.654 O
1.560 2.389 3.654 O
2.849 1.645 5.745 O
1.463 4.134 5.752 O
4.312 0.800 1.007 O
2.849 3.334 1.007 O
4.137 2.389 3.654 O
```

As for the calculated total energy: -7.77 eV per atom. The relative energy among the computed polymorphs comes out at 0.000 eV per formula unit.


# 3
Computed, not measured: a geometry-optimized ZnTeSI2 structure at the GGA-PBEsol level of DFT.

```
ZnTeSI2
1.0
5.304 0.000 0.000
0.000 5.304 0.000
0.000 0.000 5.467
Zn Te S I
1 1 1 2
Cartesian
0.000 0.000 0.000 Zn
2.652 2.652 0.000 Te
2.652 2.652 2.733 S
0.000 2.652 2.733 I
2.652 0.000 2.733 I
```

As for the calculated total energy: -2.14 eV per atom.


# 4
Computed, not measured: a geometry-optimized MnRuCl3 structure at the GGA-PBEsol level of DFT.

```
MnRuCl3
1.0
4.684 0.000 0.000
0.000 4.684 0.000
0.000 0.000 4.684
Mn Ru Cl
1 1 3
Cartesian
0.000 0.000 0.000 Mn
2.342 2.342 2.342 Ru
0.000 2.342 2.342 Cl
2.342 0.000 2.342 Cl
2.342 2.342 0.000 Cl
```

As for the calculated total energy: -4.94 eV per atom.


no.,total magnetic moment (Bohr magnetons per cell)
1,0.0
2,6.0
3,0.0
4,5.0